First-principles (PBE-GGA) data for ErMgGa2Cu2 after structural relaxation, as listed in Alexandria via LeMat-Bulk.

Properties
energy relative to the elements = -378 meV/atom
symmetry = P-3m1, No. 164
final energy = -3.7784 eV/atom

The structure in CIF format:
```
data_ErMgGa2Cu2
_space_group_name_H-M_alt 'P 1'
_space_group_IT_number 1
_cell_length_a 4.243
_cell_length_b 4.243
_cell_length_c 6.758
_cell_angle_alpha 90.00
_cell_angle_beta 90.00
_cell_angle_gamma 120.00
loop_
_space_group_symop_operation_xyz
'x,y,z'
loop_
_atom_site_label
_atom_site_fract_x
_atom_site_fract_y
_atom_site_fract_z
_atom_site_occupancy
Er1 0.000 0.000 0.000 1
Mg1 0.000 0.000 0.500 1
Ga1 0.667 0.333 0.727 1
Ga2 0.333 0.667 0.273 1
Cu1 0.667 0.333 0.294 1
Cu2 0.333 0.667 0.706 1
```